{"formula": "HoFeCo2", "functional": "PBE", "state": "relaxed", "ef_ev_per_atom": -0.194, "total_energy_ry_per_atom": -0.512, "cell": [[2.5250, 1.4578, 7.8794], [-2.5250, 1.4578, 7.8794], [0.0000, -2.9156, 7.8794]], "species": ["Ho", "Ho", "Ho", "Fe", "Fe", "Fe", "Co", "Co", "Co", "Co", "Co", "Co"], "frac_coords": [[0.0000, 0.0000, 0.0000], [0.1407, 0.1407, 0.1407], [0.8593, 0.8593, 0.8593], [0.3335, 0.3335, 0.3335], [0.5000, 0.5000, 0.5000], [0.6665, 0.6665, 0.6665], [0.0805, 0.5827, 0.5827], [0.4173, 0.4173, 0.9195], [0.4173, 0.9195, 0.4173], [0.5827, 0.0805, 0.5827], [0.5827, 0.5827, 0.0805], [0.9195, 0.4173, 0.4173]]}

***

{"formula": "LaHo2Ni9", "functional": "PBE", "state": "relaxed", "ef_ev_per_atom": -0.403, "total_energy_ry_per_atom": -0.423, "cell": [[2.4953, 1.4407, 8.0930], [-2.4953, 1.4407, 8.0930], [0.0000, -2.8813, 8.0930]], "species": ["La", "Ho", "Ho", "Ni", "Ni", "Ni", "Ni", "Ni", "Ni", "Ni", "Ni", "Ni"], "frac_coords": [[0.0000, 0.0000, 0.0000], [0.1401, 0.1401, 0.1401], [0.8599, 0.8599, 0.8599], [0.0825, 0.5846, 0.5846], [0.3329, 0.3329, 0.3329], [0.4154, 0.4154, 0.9175], [0.4154, 0.9175, 0.4154], [0.5000, 0.5000, 0.5000], [0.5846, 0.0825, 0.5846], [0.5846, 0.5846, 0.0825], [0.6671, 0.6671, 0.6671], [0.9175, 0.4154, 0.4154]]}

***

{"formula": "RbZrNO", "functional": "PBE", "state": "relaxed", "e_above_lowest_polymorph_mev_per_atom": 19, "total_energy_ry_per_atom": -0.540, "cell": [[3.6212, 0.0000, 0.0000], [0.0000, 7.3253, 0.0000], [0.0000, 0.0000, 6.2664]], "species": ["Rb", "Rb", "Zr", "Zr", "N", "N", "O", "O"], "frac_coords": [[0.0000, 0.1811, 0.0000], [0.0000, 0.8189, 0.5000], [0.5000, 0.3499, 0.5067], [0.5000, 0.6501, 0.0067], [0.5000, 0.4314, 0.8113], [0.5000, 0.5686, 0.3113], [0.0000, 0.2085, 0.4643], [0.0000, 0.7915, 0.9643]]}

***

{"formula": "Gd3TlPb6", "functional": "PBE", "state": "relaxed", "total_energy_ry_per_atom": -0.310, "cell": [[2.3565, -12.8352, 0.0000], [2.3565, 12.8352, 0.0000], [0.0000, 0.0000, 4.7385]], "species": ["Gd", "Gd", "Gd", "Tl", "Pb", "Pb", "Pb", "Pb", "Pb", "Pb"], "frac_coords": [[0.0000, 0.0000, 0.0000], [0.1887, 0.8113, 0.0000], [0.8113, 0.1887, 0.0000], [0.5000, 0.5000, 0.5000], [0.0972, 0.9028, 0.5000], [0.2937, 0.7063, 0.5000], [0.4036, 0.5964, 0.0000], [0.5964, 0.4036, 0.0000], [0.7063, 0.2937, 0.5000], [0.9028, 0.0972, 0.5000]]}

***

{"formula": "NdSm2Si4Ni2Pd2", "functional": "PBE", "state": "relaxed", "total_energy_ry_per_atom": -0.448, "cell": [[-2.0376, 2.0892, 12.0122], [2.0376, -2.0892, 12.0122], [2.0376, 2.0892, -12.0122]], "species": ["Nd", "Sm", "Sm", "Si", "Si", "Si", "Si", "Ni", "Ni", "Pd", "Pd"], "frac_coords": [[0.0000, 0.0000, 0.0000], [0.3470, 0.8470, 0.5000], [0.6530, 0.1530, 0.5000], [0.2039, 0.7039, 0.5000], [0.4501, 0.4501, 0.0000], [0.5499, 0.5499, 0.0000], [0.7961, 0.2961, 0.5000], [0.2493, 0.2493, 0.0000], [0.7507, 0.7507, 0.0000], [0.1018, 0.6018, 0.5000], [0.8982, 0.3982, 0.5000]]}

***

{"formula": "AgBiW2", "functional": "PBE", "state": "relaxed", "total_energy_ry_per_atom": -0.524, "cell": [[0.0000, 3.3532, 3.3532], [3.3532, 0.0000, 3.3532], [3.3532, 3.3532, 0.0000]], "species": ["Ag", "Bi", "W", "W"], "frac_coords": [[0.0000, 0.0000, 0.0000], [0.7500, 0.7500, 0.7500], [0.2500, 0.2500, 0.2500], [0.5000, 0.5000, 0.5000]]}

***

{"formula": "TbDySi2Pd", "functional": "PBE", "state": "relaxed", "total_energy_ry_per_atom": -0.439, "cell": [[5.2467, -2.1333, 0.0000], [5.2467, 2.1333, 0.0000], [-4.7903, 0.0000, 8.9666]], "species": ["Tb", "Tb", "Dy", "Dy", "Si", "Si", "Si", "Si", "Pd", "Pd"], "frac_coords": [[0.0031, 0.0031, 0.3240], [0.9969, 0.9969, 0.6760], [0.1868, 0.1868, 0.1066], [0.8132, 0.8132, 0.8934], [0.3667, 0.3667, 0.4359], [0.4830, 0.4830, 0.1137], [0.5170, 0.5170, 0.8863], [0.6333, 0.6333, 0.5641], [0.2743, 0.2743, 0.6406], [0.7257, 0.7257, 0.3594]]}

***

{"formula": "Nb4CdBiC2", "functional": "PBE", "state": "relaxed", "total_energy_ry_per_atom": -0.603, "cell": [[3.2879, 0.0000, 0.0000], [-1.6440, 2.8474, 0.0000], [0.0000, 0.0000, 14.1531]], "species": ["Nb", "Nb", "Nb", "Nb", "Cd", "Bi", "C", "C"], "frac_coords": [[0.0000, 0.0000, 0.1681], [0.0000, 0.0000, 0.8319], [0.3333, 0.6667, 0.3282], [0.3333, 0.6667, 0.6718], [0.0000, 0.0000, 0.5000], [0.3333, 0.6667, 0.0000], [0.6667, 0.3333, 0.2499], [0.6667, 0.3333, 0.7501]]}

***

{"formula": "PmNbGe", "functional": "PBE", "state": "relaxed", "e_above_lowest_polymorph_mev_per_atom": 0, "total_energy_ry_per_atom": -0.521, "cell": [[4.0719, 0.0000, 0.0000], [0.0000, 4.0719, 0.0000], [0.0000, 0.0000, 8.1276]], "species": ["Pm", "Pm", "Nb", "Nb", "Ge", "Ge"], "frac_coords": [[0.2500, 0.2500, 0.1482], [0.7500, 0.7500, 0.8518], [0.2500, 0.7500, 0.5000], [0.7500, 0.2500, 0.5000], [0.2500, 0.2500, 0.7345], [0.7500, 0.7500, 0.2655]]}

***

{"formula": "Nb2AlHg", "functional": "PBE", "state": "relaxed", "total_energy_ry_per_atom": -0.423, "cell": [[0.0000, 3.3241, 3.3241], [3.3241, 0.0000, 3.3241], [3.3241, 3.3241, 0.0000]], "species": ["Nb", "Nb", "Al", "Hg"], "frac_coords": [[0.0000, 0.0000, 0.0000], [0.2500, 0.2500, 0.2500], [0.5000, 0.5000, 0.5000], [0.7500, 0.7500, 0.7500]]}

***

{"formula": "HfZr2Ni", "functional": "PBE", "state": "relaxed", "ef_ev_per_atom": 0.058, "total_energy_ry_per_atom": -0.595, "cell": [[0.0000, 3.3628, 3.3628], [3.3628, 0.0000, 3.3628], [3.3628, 3.3628, 0.0000]], "species": ["Hf", "Zr", "Zr", "Ni"], "frac_coords": [[0.0000, 0.0000, 0.0000], [0.2500, 0.2500, 0.2500], [0.5000, 0.5000, 0.5000], [0.7500, 0.7500, 0.7500]]}

***

{"formula": "Mg2BMo", "functional": "PBE", "state": "relaxed", "total_energy_ry_per_atom": -0.318, "cell": [[0.0000, 3.0435, 3.0435], [3.0435, 0.0000, 3.0435], [3.0435, 3.0435, 0.0000]], "species": ["Mg", "Mg", "B", "Mo"], "frac_coords": [[0.0000, 0.0000, 0.0000], [0.2500, 0.2500, 0.2500], [0.5000, 0.5000, 0.5000], [0.7500, 0.7500, 0.7500]]}

***

{"formula": "Mg2B6Ir", "functional": "PBE", "state": "relaxed", "total_energy_ry_per_atom": -0.444, "cell": [[8.8465, 0.0000, 0.0000], [0.0000, 11.0758, 0.0000], [0.0000, 0.0000, 3.4607]], "species": ["Mg", "Mg", "Mg", "Mg", "Mg", "Mg", "Mg", "Mg", "B", "B", "B", "B", "B", "B", "B", "B", "B", "B", "B", "B", "B", "B", "B", "B", "B", "B", "B", "B", "B", "B", "B", "B", "Ir", "Ir", "Ir", "Ir"], "frac_coords": [[0.0551, 0.1268, 0.0000], [0.1755, 0.4140, 0.0000], [0.3245, 0.9140, 0.0000], [0.4449, 0.6268, 0.0000], [0.5551, 0.3732, 0.0000], [0.6755, 0.0860, 0.0000], [0.8245, 0.5860, 0.0000], [0.9449, 0.8732, 0.0000], [0.0196, 0.2884, 0.5000], [0.0552, 0.5648, 0.5000], [0.0928, 0.9748, 0.5000], [0.1300, 0.8194, 0.5000], [0.2045, 0.2388, 0.5000], [0.2444, 0.0790, 0.5000], [0.2556, 0.5790, 0.5000], [0.2955, 0.7388, 0.5000], [0.3700, 0.3194, 0.5000], [0.4072, 0.4748, 0.5000], [0.4448, 0.0648, 0.5000], [0.4804, 0.7884, 0.5000], [0.5196, 0.2116, 0.5000], [0.5552, 0.9352, 0.5000], [0.5928, 0.5252, 0.5000], [0.6300, 0.6806, 0.5000], [0.7045, 0.2612, 0.5000], [0.7444, 0.4210, 0.5000], [0.7556, 0.9210, 0.5000], [0.7955, 0.7612, 0.5000], [0.8700, 0.1806, 0.5000], [0.9072, 0.0252, 0.5000], [0.9448, 0.4352, 0.5000], [0.9804, 0.7116, 0.5000], [0.1415, 0.6808, 0.0000], [0.3585, 0.1808, 0.0000], [0.6415, 0.8192, 0.0000], [0.8585, 0.3192, 0.0000]]}

***

{"formula": "Ho3Mg3Ag2Pd", "functional": "PBE", "state": "relaxed", "total_energy_ry_per_atom": -0.268, "cell": [[7.6134, 0.0000, 0.0000], [-3.8067, 6.5934, 0.0000], [0.0000, 0.0000, 4.0730]], "species": ["Ho", "Ho", "Ho", "Mg", "Mg", "Mg", "Ag", "Ag", "Pd"], "frac_coords": [[0.0000, 0.4059, 0.0000], [0.4059, 0.0000, 0.0000], [0.5941, 0.5941, 0.0000], [0.0000, 0.7595, 0.5000], [0.2405, 0.2405, 0.5000], [0.7595, 0.0000, 0.5000], [0.3333, 0.6667, 0.5000], [0.6667, 0.3333, 0.5000], [0.0000, 0.0000, 0.0000]]}

***

{"formula": "AcPuNi", "functional": "PBE", "state": "relaxed", "ef_ev_per_atom": 0.694, "e_above_lowest_polymorph_mev_per_atom": 608, "total_energy_ry_per_atom": -0.532, "cell": [[0.0000, 3.4175, 3.4175], [3.4175, 0.0000, 3.4175], [3.4175, 3.4175, 0.0000]], "species": ["Ac", "Pu", "Ni"], "frac_coords": [[0.0000, 0.0000, 0.0000], [0.2500, 0.2500, 0.2500], [0.7500, 0.7500, 0.7500]]}

***

{"formula": "TbDySc", "functional": "PBE", "state": "relaxed", "ef_ev_per_atom": 0.686, "total_energy_ry_per_atom": -0.331, "cell": [[0.0000, 3.7039, 3.7039], [3.7039, 0.0000, 3.7039], [3.7039, 3.7039, 0.0000]], "species": ["Tb", "Dy", "Sc"], "frac_coords": [[0.0000, 0.0000, 0.0000], [0.5000, 0.5000, 0.5000], [0.7500, 0.7500, 0.7500]]}

***

{"formula": "GdAl2Ir2", "functional": "PBE", "state": "relaxed", "total_energy_ry_per_atom": -0.505, "cell": [[4.2518, 0.0000, 0.0000], [0.0000, 4.2518, 0.0000], [0.0000, 0.0000, 10.1284]], "species": ["Gd", "Gd", "Al", "Al", "Al", "Al", "Ir", "Ir", "Ir", "Ir"], "frac_coords": [[0.2500, 0.2500, 0.2360], [0.7500, 0.7500, 0.7640], [0.2500, 0.2500, 0.8769], [0.2500, 0.7500, 0.5000], [0.7500, 0.2500, 0.5000], [0.7500, 0.7500, 0.1231], [0.2500, 0.2500, 0.6335], [0.2500, 0.7500, 0.0000], [0.7500, 0.2500, 0.0000], [0.7500, 0.7500, 0.3665]]}

***

{"formula": "NdSmSi2Cl2", "functional": "PBE", "state": "relaxed", "total_energy_ry_per_atom": -0.397, "cell": [[4.0686, 0.0000, 0.0000], [-2.0343, 3.5235, 0.0000], [0.0000, 0.0000, 10.8599]], "species": ["Nd", "Sm", "Si", "Si", "Cl", "Cl"], "frac_coords": [[0.0000, 0.0000, 0.0000], [0.0000, 0.0000, 0.6325], [0.3333, 0.6667, 0.8062], [0.6667, 0.3333, 0.8220], [0.3333, 0.6667, 0.1569], [0.6667, 0.3333, 0.4793]]}

***

{"formula": "BaHoAl", "functional": "PBE", "state": "relaxed", "e_above_lowest_polymorph_mev_per_atom": 0, "total_energy_ry_per_atom": -0.236, "cell": [[0.0000, 3.8415, 3.8415], [3.8415, 0.0000, 3.8415], [3.8415, 3.8415, 0.0000]], "species": ["Ba", "Ho", "Al"], "frac_coords": [[0.0000, 0.0000, 0.0000], [0.5000, 0.5000, 0.5000], [0.2500, 0.2500, 0.2500]]}

***

{"formula": "CuAg2Pd", "functional": "PBE", "state": "relaxed", "ef_ev_per_atom": 0.011, "total_energy_ry_per_atom": -0.266, "cell": [[0.0000, 3.1629, 3.1629], [3.1629, 0.0000, 3.1629], [3.1629, 3.1629, 0.0000]], "species": ["Cu", "Ag", "Ag", "Pd"], "frac_coords": [[0.0000, 0.0000, 0.0000], [0.2500, 0.2500, 0.2500], [0.5000, 0.5000, 0.5000], [0.7500, 0.7500, 0.7500]]}